1.
Na2BH6: relaxed, PBE-GGA.

The structure in extended XYZ format:
```
9
Lattice="2.7649 -2.4280 0.0000 2.7649 2.4280 0.0000 -2.6266 0.0000 6.0545" Properties=species:S:1:pos:R:3 pbc="T T T"
Na 0.2532 0.0000 1.8771
Na 2.6499 0.0000 4.1774
B 2.7649 0.0000 0.0000
H 2.7649 1.2900 0.0000
H -1.1317 0.0000 5.9411
H 0.2587 0.0000 4.2237
H 2.6444 0.0000 1.8307
H 4.0348 0.0000 0.1134
H 2.7649 -1.2900 0.0000
```

Output
**Energy relative to the lowest polymorph listed for this composition**: 0 meV per atom
**Space-group type**: C2/m (12)
**DOS(E_F)**: 0.0838 states/eV/atom

***

2.
Sr2ScSi: relaxed, PBE-GGA.

The structure in extended XYZ format:
```
4
Lattice="0.0000 3.8306 3.8306 3.8306 0.0000 3.8306 3.8306 3.8306 0.0000" Properties=species:S:1:pos:R:3 pbc="T T T"
Sr 0.0000 0.0000 0.0000
Sr 1.9153 1.9153 1.9153
Sc 5.7459 5.7459 5.7459
Si 3.8306 3.8306 3.8306
```

Output
**Space-group type**: F-43m (216)
**Uncorrected formation energy**: 0.226 eV per atom
**DOS(E_F)**: 0.9237 states/eV/atom

***

3.
As2P: relaxed, PBE-GGA.

The structure in extended XYZ format:
```
12
Lattice="-1.6641 1.6641 21.6773 1.6641 -1.6641 21.6773 1.6641 1.6641 -21.6773" Properties=species:S:1:pos:R:3 pbc="T T T"
As 1.6641 -0.8320 12.1993
As 1.6641 0.8320 -6.0215
As 1.6641 -0.8320 20.3166
As 0.0000 0.8320 4.8171
As 1.6641 0.8320 16.8601
As 0.0000 2.4961 1.3607
As 0.0000 0.8320 27.6988
As 0.0000 2.4961 9.4779
P 1.6641 0.8320 2.3640
P 1.6641 0.8320 8.4746
P 0.0000 0.8320 13.2027
P 0.0000 0.8320 19.3132
```

Output
**Energy relative to the lowest polymorph listed for this composition**: 284 meV per atom
**Space-group type**: I4_1/amd (141)
**DOS(E_F)**: 0.3280 states/eV/atom

***

4.
Tm3TeCS: relaxed, PBE-GGA.

The structure in extended XYZ format:
```
12
Lattice="3.2941 -6.6492 0.0000 3.2941 6.6492 0.0000 -1.5566 0.0000 6.2629" Properties=species:S:1:pos:R:3 pbc="T T T"
Tm -0.0984 0.6799 6.2133
Tm 2.1266 3.6430 4.6972
Tm 0.6799 -0.6799 3.0819
Tm 4.3517 0.6799 3.1810
Tm 2.9050 -3.6430 1.5657
Tm 5.1300 -0.6799 0.0495
Te 2.9050 3.2929 1.5657
Te 2.1266 -3.2929 4.6972
C 2.1266 5.9367 4.6972
C 2.9050 -5.9367 1.5657
S 2.1266 0.9013 4.6972
S 2.9050 -0.9013 1.5657
```

Output
**Space-group type**: C2/c (15)
**Uncorrected formation energy**: -1.161 eV per atom
**DOS(E_F)**: 0.3748 states/eV/atom

***

5.
RbSeBr3: relaxed, PBE-GGA.

The structure in extended XYZ format:
```
10
Lattice="5.5564 -6.0064 0.0000 5.5564 6.0064 0.0000 -4.6451 0.0000 5.7355" Properties=species:S:1:pos:R:3 pbc="T T T"
Rb 5.5564 3.1532 0.0000
Rb 5.5564 -3.1532 0.0000
Se 1.0744 0.0000 4.0022
Se 3.5476 0.0000 3.3879
Br -0.2973 0.0000 2.0174
Br 3.6465 2.6262 3.3772
Br 3.3916 0.0000 0.8418
Br 7.7233 0.0000 0.2793
Br 3.6465 -2.6262 3.3772
Br 6.3540 0.0000 3.6864
```

Output
**Space-group type**: Cm (8)
**Uncorrected formation energy**: -0.751 eV per atom
**DOS(E_F)**: 0.0000 states/eV/atom

***

6.
Pm4PuPt5: relaxed, PBE-GGA.

The structure in extended XYZ format:
```
10
Lattice="3.5510 0.0000 0.0000 0.0000 3.5510 0.0000 0.0000 0.0000 18.0341" Properties=species:S:1:pos:R:3 pbc="T T T"
Pm 0.0000 0.0000 1.8202
Pm 0.0000 0.0000 5.4649
Pm 0.0000 0.0000 12.5692
Pm 0.0000 0.0000 16.2139
Pu 0.0000 0.0000 9.0171
Pt 1.7755 1.7755 0.0000
Pt 1.7755 1.7755 3.6048
Pt 1.7755 1.7755 7.2369
Pt 1.7755 1.7755 10.7973
Pt 1.7755 1.7755 14.4293
```

Output
**Space-group type**: P4/mmm (123)
**DOS(E_F)**: 1.6053 states/eV/atom

***

7.
BaCoTc4: relaxed, PBE-GGA.

The structure in extended XYZ format:
```
6
Lattice="0.0000 3.7917 3.7917 3.7917 0.0000 3.7917 3.7917 3.7917 0.0000" Properties=species:S:1:pos:R:3 pbc="T T T"
Ba 0.0000 0.0000 0.0000
Co 5.6875 5.6875 5.6875
Tc 2.8509 2.8509 2.8509
Tc 4.7324 4.7324 2.8509
Tc 4.7324 2.8509 4.7324
Tc 2.8509 4.7324 4.7324
```

Output
**Space-group type**: F-43m (216)
**DOS(E_F)**: 1.4003 states/eV/atom

***

8.
LiCaTbTe3: relaxed, PBE-GGA.

The structure in extended XYZ format:
```
12
Lattice="8.9797 0.0000 0.0000 0.0000 4.3600 0.0000 -2.1411 0.0000 9.3982" Properties=species:S:1:pos:R:3 pbc="T T T"
Li 0.5748 1.0900 0.7981
Li 6.2638 3.2700 8.6001
Ca 0.0659 1.0900 6.9451
Ca 6.7727 3.2700 2.4531
Tb 2.2548 3.2700 3.1174
Tb 4.5838 1.0900 6.2807
Te 0.0774 1.0900 3.4940
Te 2.0679 3.2700 0.0450
Te 2.3951 3.2700 6.2596
Te 4.4435 1.0900 3.1386
Te 4.7708 1.0900 9.3532
Te 6.7612 3.2700 5.9041
```

Output
**Space-group type**: P2_1/m (11)
**Uncorrected formation energy**: -1.356 eV per atom

***

9.
CaMoN3: relaxed, PBE-GGA.

The structure in extended XYZ format:
```
10
Lattice="3.5372 0.0000 0.0000 0.0000 4.2889 0.0000 0.0000 0.0000 8.8481" Properties=species:S:1:pos:R:3 pbc="T T T"
Ca 0.0000 0.0000 0.0000
Ca 0.0000 2.1444 3.3229
Mo 1.7686 0.0000 5.2099
Mo 1.7686 2.1444 7.0486
N 0.0000 0.0000 4.4141
N 0.0000 2.1444 7.8538
N 1.7686 0.0000 7.1554
N 1.7686 0.6143 1.8463
N 1.7686 2.1444 5.0886
N 1.7686 3.6746 1.8463
```

Output
**Space-group type**: Pmm2 (25)
**Uncorrected formation energy**: -0.540 eV per atom
**DOS(E_F)**: 0.4300 states/eV/atom

***

10.
KTcSb2P: relaxed, PBE-GGA.

The structure in extended XYZ format:
```
5
Lattice="5.2327 0.0000 0.0000 0.0000 5.2327 0.0000 0.0000 0.0000 5.4936" Properties=species:S:1:pos:R:3 pbc="T T T"
K 0.0000 0.0000 0.0000
Tc 2.6164 2.6164 0.0000
Sb 0.0000 2.6164 2.7468
Sb 2.6164 0.0000 2.7468
P 0.0000 0.0000 2.7468
```

Output
**Space-group type**: P4/mmm (123)
**Uncorrected formation energy**: 1.126 eV per atom
**DOS(E_F)**: 0.8641 states/eV/atom

***

11.
AcLaSiIr: relaxed, PBE-GGA.

The structure in extended XYZ format:
```
4
Lattice="0.0000 3.7242 3.7242 3.7242 0.0000 3.7242 3.7242 3.7242 0.0000" Properties=species:S:1:pos:R:3 pbc="T T T"
Ac 0.0000 0.0000 0.0000
La 3.7242 3.7242 3.7242
Si 5.5862 5.5862 5.5862
Ir 1.8621 1.8621 1.8621
```

Output
**Space-group type**: F-43m (216)
**Uncorrected formation energy**: -0.401 eV per atom
**DOS(E_F)**: 0.8006 states/eV/atom

***

12.
Hf4TcPd: relaxed, PBE-GGA.

The structure in extended XYZ format:
```
6
Lattice="3.3064 0.0000 0.0000 0.0000 3.3064 0.0000 0.0000 0.0000 10.4847" Properties=species:S:1:pos:R:3 pbc="T T T"
Hf 0.0000 0.0000 1.5758
Hf 0.0000 0.0000 8.9089
Hf 1.6532 1.6532 3.5624
Hf 1.6532 1.6532 6.9223
Tc 1.6532 1.6532 0.0000
Pd 0.0000 0.0000 5.2424
```

Output
**Energy relative to the lowest polymorph listed for this composition**: 0 meV per atom
**Space-group type**: P4/mmm (123)
**DOS(E_F)**: 1.0505 states/eV/atom

***

Number 1: energy -28.0 eV for the cell shown, calculated density 1.284 g/cm3. Number 2: energy -14.2 eV for the cell shown, calculated density 3.668 g/cm3. Number 3: energy -54.7 eV for the cell shown, calculated density 5.002 g/cm3. Number 4: energy -73.7 eV for the cell shown, calculated density 8.213 g/cm3. Number 5: energy -26.4 eV for the cell shown, calculated density 3.506 g/cm3. Number 6: energy -73.6 eV for the cell shown, calculated density 13.140 g/cm3. Number 7: energy -44.6 eV for the cell shown, calculated density 8.960 g/cm3. Number 8: energy -52.2 eV for the cell shown, calculated density 5.314 g/cm3. Number 9: energy -81.0 eV for the cell shown, calculated density 4.405 g/cm3. Number 10: energy -19.5 eV for the cell shown, calculated density 4.544 g/cm3. Number 11: energy -24.9 eV for the cell shown, calculated density 9.423 g/cm3. Number 12: energy -57.8 eV for the cell shown, calculated density 13.305 g/cm3.